# LiIr (meta-GGA SCAN, PBEsol geometry)
# - total moment (μB/f.u.) = 0.056
# - raw total energy (eV per atom) = -37.07
data_LiIr
_symmetry_space_group_name_H-M 'P 1'
_symmetry_Int_Tables_number 1
_cell_length_a 2.636
_cell_length_b 2.636
_cell_length_c 13.096
_cell_angle_alpha 90.00
_cell_angle_beta 90.00
_cell_angle_gamma 120.00
loop_
_symmetry_equiv_pos_as_xyz
'x,y,z'
loop_
_atom_site_label
_atom_site_type_symbol
_atom_site_fract_x
_atom_site_fract_y
_atom_site_fract_z
Li1 Li 0.000 0.000 0.000
Li2 Li 0.333 0.667 0.667
Li3 Li 0.667 0.333 0.333
Ir1 Ir 0.000 0.000 0.500
Ir2 Ir 0.333 0.667 0.167
Ir3 Ir 0.667 0.333 0.833

---

# LiIr (meta-GGA SCAN, PBEsol geometry)
# - total moment (μB/f.u.) = 0.000
# - raw total energy (eV per atom) = -37.01
data_LiIr
_symmetry_space_group_name_H-M 'P 1'
_symmetry_Int_Tables_number 1
_cell_length_a 9.460
_cell_length_b 2.637
_cell_length_c 4.715
_cell_angle_alpha 90.00
_cell_angle_beta 115.00
_cell_angle_gamma 90.00
loop_
_symmetry_equiv_pos_as_xyz
'x,y,z'
loop_
_atom_site_label
_atom_site_type_symbol
_atom_site_fract_x
_atom_site_fract_y
_atom_site_fract_z
Li1 Li 0.120 0.000 0.464
Li2 Li 0.380 0.500 0.536
Li3 Li 0.620 0.500 0.464
Li4 Li 0.880 0.000 0.536
Ir1 Ir 0.130 0.500 0.977
Ir2 Ir 0.370 0.000 0.023
Ir3 Ir 0.630 0.000 0.977
Ir4 Ir 0.870 0.500 0.023

---

# LiIr3 (meta-GGA SCAN, PBEsol geometry)
# - total moment (μB/f.u.) = 0.000
# - raw total energy (eV per atom) = -53.99
data_LiIr3
_symmetry_space_group_name_H-M 'P 1'
_symmetry_Int_Tables_number 1
_cell_length_a 2.651
_cell_length_b 4.047
_cell_length_c 5.068
_cell_angle_alpha 90.00
_cell_angle_beta 103.56
_cell_angle_gamma 90.00
loop_
_symmetry_equiv_pos_as_xyz
'x,y,z'
loop_
_atom_site_label
_atom_site_type_symbol
_atom_site_fract_x
_atom_site_fract_y
_atom_site_fract_z
Li1 Li 0.000 0.000 0.000
Ir1 Ir 0.000 0.000 0.500
Ir2 Ir 0.380 0.500 0.238
Ir3 Ir 0.620 0.500 0.762

---

# LiIr (meta-GGA SCAN, PBEsol geometry)
# - total moment (μB/f.u.) = 0.001
# - raw total energy (eV per atom) = -37.04
data_LiIr
_symmetry_space_group_name_H-M 'P 1'
_symmetry_Int_Tables_number 1
_cell_length_a 2.657
_cell_length_b 4.383
_cell_length_c 4.568
_cell_angle_alpha 90.00
_cell_angle_beta 90.00
_cell_angle_gamma 90.00
loop_
_symmetry_equiv_pos_as_xyz
'x,y,z'
loop_
_atom_site_label
_atom_site_type_symbol
_atom_site_fract_x
_atom_site_fract_y
_atom_site_fract_z
Li1 Li 0.250 0.250 0.061
Li2 Li 0.750 0.750 0.939
Ir1 Ir 0.250 0.750 0.444
Ir2 Ir 0.750 0.250 0.556

---

# Li2Ir (meta-GGA SCAN, PBEsol geometry)
# - total moment (μB/f.u.) = 0.000
# - raw total energy (eV per atom) = -25.56
data_Li2Ir
_symmetry_space_group_name_H-M 'P 1'
_symmetry_Int_Tables_number 1
_cell_length_a 2.447
_cell_length_b 4.155
_cell_length_c 7.785
_cell_angle_alpha 90.00
_cell_angle_beta 90.00
_cell_angle_gamma 90.00
loop_
_symmetry_equiv_pos_as_xyz
'x,y,z'
loop_
_atom_site_label
_atom_site_type_symbol
_atom_site_fract_x
_atom_site_fract_y
_atom_site_fract_z
Li1 Li 0.000 0.000 0.162
Li2 Li 0.000 0.000 0.838
Li3 Li 0.500 0.500 0.338
Li4 Li 0.500 0.500 0.662
Ir1 Ir 0.000 0.000 0.500
Ir2 Ir 0.500 0.500 0.000

---

# LiIr (meta-GGA SCAN, PBEsol geometry)
# - total moment (μB/f.u.) = 0.008
# - raw total energy (eV per atom) = -37.05
data_LiIr
_symmetry_space_group_name_H-M 'P 1'
_symmetry_Int_Tables_number 1
_cell_length_a 2.683
_cell_length_b 4.484
_cell_length_c 4.399
_cell_angle_alpha 90.00
_cell_angle_beta 90.00
_cell_angle_gamma 90.00
loop_
_symmetry_equiv_pos_as_xyz
'x,y,z'
loop_
_atom_site_label
_atom_site_type_symbol
_atom_site_fract_x
_atom_site_fract_y
_atom_site_fract_z
Li1 Li 0.000 0.000 0.000
Li2 Li 0.500 0.500 0.000
Ir1 Ir 0.000 0.500 0.500
Ir2 Ir 0.500 0.000 0.500

---

# Li3Ir (meta-GGA SCAN, PBEsol geometry)
# - total moment (μB/f.u.) = 0.001
# - raw total energy (eV per atom) = -19.77
data_Li3Ir
_symmetry_space_group_name_H-M 'P 1'
_symmetry_Int_Tables_number 1
_cell_length_a 2.471
_cell_length_b 4.373
_cell_length_c 5.079
_cell_angle_alpha 90.00
_cell_angle_beta 96.27
_cell_angle_gamma 90.00
loop_
_symmetry_equiv_pos_as_xyz
'x,y,z'
loop_
_atom_site_label
_atom_site_type_symbol
_atom_site_fract_x
_atom_site_fract_y
_atom_site_fract_z
Li1 Li 0.000 0.000 0.000
Li2 Li 0.141 0.500 0.722
Li3 Li 0.859 0.500 0.278
Ir1 Ir 0.500 0.000 0.500

---

# Li2Ir (meta-GGA SCAN, PBEsol geometry)
# - total moment (μB/f.u.) = 0.000
# - raw total energy (eV per atom) = -25.52
data_Li2Ir
_symmetry_space_group_name_H-M 'P 1'
_symmetry_Int_Tables_number 1
_cell_length_a 7.938
_cell_length_b 4.722
_cell_length_c 4.474
_cell_angle_alpha 90.00
_cell_angle_beta 90.00
_cell_angle_gamma 90.00
loop_
_symmetry_equiv_pos_as_xyz
'x,y,z'
loop_
_atom_site_label
_atom_site_type_symbol
_atom_site_fract_x
_atom_site_fract_y
_atom_site_fract_z
Li1 Li 0.166 0.124 0.250
Li2 Li 0.166 0.876 0.750
Li3 Li 0.334 0.376 0.750
Li4 Li 0.334 0.624 0.250
Li5 Li 0.666 0.376 0.750
Li6 Li 0.666 0.624 0.250
Li7 Li 0.834 0.124 0.250
Li8 Li 0.834 0.876 0.750
Ir1 Ir 0.000 0.408 0.750
Ir2 Ir 0.000 0.592 0.250
Ir3 Ir 0.500 0.092 0.250
Ir4 Ir 0.500 0.908 0.750